The following is a DFT calculation (PBE) of crystalline KLi3Mn at its relaxed geometry.

a = 5.377 Å, b = 5.377 Å, c = 5.377 Å
α = 90.00°, β = 90.00°, γ = 90.00°
Site moments in Bohr magnetons follow the coordinates.
Fractional coordinates of all 5 atoms:
K: 0.500 0.500 0.500  -0.01
Li: 0.500 0.000 0.000  0.00
Li: 0.000 0.000 0.500  0.00
Li: 0.000 0.500 0.000  0.01
Mn: 0.000 0.000 0.000  4.08

Space-group type = No. 221
ΔE_f = 0.550 eV/atom
Size of the total moment = 4.4 μB per formula unit